# 1
{"formula": "ScAsPt", "functional": "GGA-PBEsol", "state": "optimized geometry", "mass_density_g_cm3": 9.9, "e_form_mev_per_atom": -782, "lattice_angstrom": [[-2.213, -2.854, -0.414], [2.787, -2.250, 0.620], [-1.100, 2.618, 3.790]], "species": ["Pt", "As", "Sc"], "fractional_positions": [[0.323, 0.323, 0.645], [0.004, 0.004, 0.007], [0.674, 0.674, 0.347]]}


# 2
{"formula": "InAuO2", "functional": "GGA-PBEsol", "state": "optimized geometry", "raw_formation_energy_ev_per_atom": -0.98, "mass_density_g_cm3": 9.7, "lattice_angstrom": [[3.312, 0.000, 0.000], [-1.656, 2.868, 0.000], [0.000, 0.000, 12.339]], "species": ["In", "O", "O", "Au", "O", "In", "O", "Au"], "fractional_positions": [[0.000, 0.000, 0.000], [0.667, 0.333, 0.915], [0.333, 0.667, 0.085], [0.667, 0.333, 0.750], [0.333, 0.667, 0.415], [0.000, 0.000, 0.500], [0.667, 0.333, 0.585], [0.333, 0.667, 0.250]]}


Number 1: magnetic moment 0.00 μB per formula unit. Number 2: magnetic moment 0.00 μB per formula unit.